1.
# PBE Sr2NdInSe5, relaxed
# **Formation energy from raw total energies**: -1.584 eV per atom
# **ρ**: 5.26 g/cm³
# **Total energy**: -4.728 eV/atom
# **Total magnetic moment**: 0.000 μB per formula unit
data_Sr2NdInSe5
_chemical_formula_sum 'Sr8 Nd4 In4 Se20'
_space_group_name_H-M_alt 'C m c 21'
_space_group_IT_number 36
_cell_length_a 4.257
_cell_length_b 18.805
_cell_length_c 13.073
_cell_angle_alpha 90.00
_cell_angle_beta 90.00
_cell_angle_gamma 90.00
loop_
_space_group_symop_operation_xyz
'x,y,z'
'-x,-y,z+1/2'
'-x,y,z'
'x,-y,z+1/2'
'x+1/2,y+1/2,z'
'-x+1/2,-y+1/2,z+1/2'
'-x+1/2,y+1/2,z'
'x+1/2,-y+1/2,z+1/2'
loop_
_atom_site_label
_atom_site_fract_x
_atom_site_fract_y
_atom_site_fract_z
Sr1 0.000 0.115 0.000
Sr2 0.000 0.129 0.635
Nd1 0.000 0.212 0.339
In1 0.000 0.450 0.762
Se1 0.000 0.048 0.381
Se2 0.000 0.289 0.992
Se3 0.000 0.316 0.681
Se4 0.000 0.364 0.321
Se5 0.000 0.494 0.084

2.
# PBE TbNd2In3Se6, relaxed
# **Formation energy from raw total energies**: -1.293 eV per atom
# **ρ**: 5.80 g/cm³
# **Total energy**: -4.901 eV/atom
# **Total magnetic moment**: 0.000 μB per formula unit
data_TbNd2In3Se6
_chemical_formula_sum 'Tb2 Nd4 In6 Se12'
_space_group_name_H-M_alt 'C 1 2/m 1'
_space_group_IT_number 12
_cell_length_a 7.362
_cell_length_b 12.748
_cell_length_c 8.106
_cell_angle_alpha 90.00
_cell_angle_beta 107.61
_cell_angle_gamma 90.00
loop_
_space_group_symop_operation_xyz
'x,y,z'
'-x,-y,-z'
'-x,y,-z'
'x,-y,z'
'x+1/2,y+1/2,z'
'-x+1/2,-y+1/2,-z'
'-x+1/2,y+1/2,-z'
'x+1/2,-y+1/2,z'
loop_
_atom_site_label
_atom_site_fract_x
_atom_site_fract_y
_atom_site_fract_z
Tb1 0.000 0.000 0.000
Nd1 0.000 0.333 0.000
In1 0.000 0.168 0.500
In2 0.000 0.500 0.500
Se1 0.234 0.163 0.213
Se2 0.246 0.500 0.215

3.
# PBE Tb2NdIn3Se6, relaxed
# **Formation energy from raw total energies**: -1.298 eV per atom
# **ρ**: 5.97 g/cm³
# **Total energy**: -4.894 eV/atom
# **Total magnetic moment**: 0.000 μB per formula unit
data_Tb2NdIn3Se6
_chemical_formula_sum 'Tb4 Nd2 In6 Se12'
_space_group_name_H-M_alt 'C 1 2/m 1'
_space_group_IT_number 12
_cell_length_a 7.291
_cell_length_b 12.625
_cell_length_c 8.107
_cell_angle_alpha 90.00
_cell_angle_beta 107.44
_cell_angle_gamma 90.00
loop_
_space_group_symop_operation_xyz
'x,y,z'
'-x,-y,-z'
'-x,y,-z'
'x,-y,z'
'x+1/2,y+1/2,z'
'-x+1/2,-y+1/2,-z'
'-x+1/2,y+1/2,-z'
'x+1/2,-y+1/2,z'
loop_
_atom_site_label
_atom_site_fract_x
_atom_site_fract_y
_atom_site_fract_z
Tb1 0.000 0.167 0.000
Nd1 0.000 0.500 0.000
In1 0.000 0.000 0.500
In2 0.000 0.335 0.500
Se1 0.229 0.000 0.210
Se2 0.241 0.330 0.212

4.
# PBE Nd4InTe2Se, relaxed
# **Formation energy from raw total energies**: -1.283 eV per atom
# **ρ**: 6.84 g/cm³
# **Total energy**: -5.230 eV/atom
# **Total magnetic moment**: 0.000 μB per formula unit
data_Nd4InTe2Se
_chemical_formula_sum 'Nd4 In1 Te2 Se1'
_space_group_name_H-M_alt 'P 1 2/m 1'
_space_group_IT_number 10
_cell_length_a 7.695
_cell_length_b 4.398
_cell_length_c 7.775
_cell_angle_alpha 90.00
_cell_angle_beta 108.93
_cell_angle_gamma 90.00
loop_
_space_group_symop_operation_xyz
'x,y,z'
'-x,-y,-z'
'-x,y,-z'
'x,-y,z'
loop_
_atom_site_label
_atom_site_fract_x
_atom_site_fract_y
_atom_site_fract_z
Nd1 0.240 0.000 0.232
Nd2 0.248 0.500 0.759
In1 0.500 0.000 0.000
Te1 0.000 0.000 0.500
Te2 0.500 0.500 0.500
Se1 0.000 0.500 0.000